(1)
## PaReTc (GGA-PBE)

Data for crystalline PaReTc at its relaxed geometry.

POSCAR file:
```
PaReTc
1.0
0.000 3.154 3.154
3.154 0.000 3.154
3.154 3.154 0.000
Pa Re Tc
1 1 1
Cartesian
0.000 0.000 0.000
4.731 4.731 4.731
3.154 3.154 3.154
```

- size of the total moment (μB/atom) = 0.005
- E_tot (eV per atom) = -10.338
- energy above the most stable polymorph in this dataset (meV/atom) = 0
- energy relative to the elements (meV per atom) = 422
- crystal system = cubic

---

(2)
## PaReTc (GGA-PBE)

Data for crystalline PaReTc at its relaxed geometry.

POSCAR file:
```
PaReTc
1.0
0.000 3.124 3.124
3.124 0.000 3.124
3.124 3.124 0.000
Pa Re Tc
1 1 1
Cartesian
0.000 0.000 0.000
4.686 4.686 4.686
1.562 1.562 1.562
```

- size of the total moment (μB/atom) = 0.000
- E_tot (eV per atom) = -10.023
- energy above the most stable polymorph in this dataset (meV/atom) = 315
- energy relative to the elements (meV per atom) = 737
- crystal system = cubic

---

(3)
## PaReTe (GGA-PBE)

Data for crystalline PaReTe at its relaxed geometry.

POSCAR file:
```
PaReTe
1.0
0.000 3.311 3.311
3.311 0.000 3.311
3.311 3.311 0.000
Pa Re Te
1 1 1
Cartesian
0.000 0.000 0.000
4.967 4.967 4.967
3.311 3.311 3.311
```

- size of the total moment (μB/atom) = 0.001
- E_tot (eV per atom) = -8.306
- energy above the most stable polymorph in this dataset (meV/atom) = 0
- crystal system = cubic

---

(4)
## PaReTe (GGA-PBE)

Data for crystalline PaReTe at its relaxed geometry.

POSCAR file:
```
PaReTe
1.0
0.000 3.422 3.422
3.422 0.000 3.422
3.422 3.422 0.000
Pa Re Te
1 1 1
Cartesian
0.000 0.000 0.000
5.133 5.133 5.133
1.711 1.711 1.711
```

- size of the total moment (μB/atom) = 0.000
- E_tot (eV per atom) = -7.579
- energy above the most stable polymorph in this dataset (meV/atom) = 727
- crystal system = cubic

---

(5)
## ThPaRe (GGA-PBE)

Data for crystalline ThPaRe at its relaxed geometry.

POSCAR file:
```
ThPaRe
1.0
0.000 3.440 3.440
3.440 0.000 3.440
3.440 3.440 0.000
Th Pa Re
1 1 1
Cartesian
0.000 0.000 0.000
3.440 3.440 3.440
1.720 1.720 1.720
```

- size of the total moment (μB/atom) = 0.265
- E_tot (eV per atom) = -9.481
- energy above the most stable polymorph in this dataset (meV/atom) = 0
- energy relative to the elements (meV per atom) = 296
- crystal system = cubic

---

(6)
## TmPaRe (GGA-PBE)

Data for crystalline TmPaRe at its relaxed geometry.

POSCAR file:
```
TmPaRe
1.0
0.000 3.360 3.360
3.360 0.000 3.360
3.360 3.360 0.000
Tm Pa Re
1 1 1
Cartesian
0.000 0.000 0.000
3.360 3.360 3.360
1.680 1.680 1.680
```

- size of the total moment (μB/atom) = 0.068
- E_tot (eV per atom) = -8.598
- energy above the most stable polymorph in this dataset (meV/atom) = 0
- energy relative to the elements (meV per atom) = 200
- crystal system = cubic

---

(7)
## UPaRe (GGA-PBE)

Data for crystalline UPaRe at its relaxed geometry.

POSCAR file:
```
UPaRe
1.0
0.000 3.216 3.216
3.216 0.000 3.216
3.216 3.216 0.000
U Pa Re
1 1 1
Cartesian
0.000 0.000 0.000
1.608 1.608 1.608
4.823 4.823 4.823
```

- size of the total moment (μB/atom) = 0.013
- E_tot (eV per atom) = -10.578
- energy above the most stable polymorph in this dataset (meV/atom) = 0
- energy relative to the elements (meV per atom) = 493
- crystal system = cubic

---

(8)
## PaReW (GGA-PBE)

Data for crystalline PaReW at its relaxed geometry.

POSCAR file:
```
PaReW
1.0
0.000 3.191 3.191
3.191 0.000 3.191
3.191 3.191 0.000
Pa Re W
1 1 1
Cartesian
0.000 0.000 0.000
4.787 4.787 4.787
3.191 3.191 3.191
```

- size of the total moment (μB/atom) = 0.104
- E_tot (eV per atom) = -11.022
- energy above the most stable polymorph in this dataset (meV/atom) = 0
- energy relative to the elements (meV per atom) = 604
- crystal system = cubic

---

(9)
## PaReW (GGA-PBE)

Data for crystalline PaReW at its relaxed geometry.

POSCAR file:
```
PaReW
1.0
0.000 3.143 3.143
3.143 0.000 3.143
3.143 3.143 0.000
Pa Re W
1 1 1
Cartesian
0.000 0.000 0.000
4.714 4.714 4.714
1.571 1.571 1.571
```

- size of the total moment (μB/atom) = 0.001
- E_tot (eV per atom) = -10.476
- energy above the most stable polymorph in this dataset (meV/atom) = 546
- energy relative to the elements (meV per atom) = 1150
- crystal system = cubic

---

(10)
## YPaRe (GGA-PBE)

Data for crystalline YPaRe at its relaxed geometry.

POSCAR file:
```
YPaRe
1.0
0.000 3.386 3.386
3.386 0.000 3.386
3.386 3.386 0.000
Y Pa Re
1 1 1
Cartesian
0.000 0.000 0.000
3.386 3.386 3.386
1.693 1.693 1.693
```

- size of the total moment (μB/atom) = 0.066
- E_tot (eV per atom) = -9.199
- energy relative to the elements (meV per atom) = 262
- crystal system = cubic

---

(11)
## PaZnRe (GGA-PBE)

Data for crystalline PaZnRe at its relaxed geometry.

POSCAR file:
```
PaZnRe
1.0
0.000 3.232 3.232
3.232 0.000 3.232
3.232 3.232 0.000
Pa Zn Re
1 1 1
Cartesian
0.000 0.000 0.000
1.616 1.616 1.616
4.848 4.848 4.848
```

- size of the total moment (μB/atom) = 0.001
- E_tot (eV per atom) = -6.823
- energy above the most stable polymorph in this dataset (meV/atom) = 606
- energy relative to the elements (meV per atom) = 905
- crystal system = cubic

---

(12)
## PaZnRe (GGA-PBE)

Data for crystalline PaZnRe at its relaxed geometry.

POSCAR file:
```
PaZnRe
1.0
0.000 3.182 3.182
3.182 0.000 3.182
3.182 3.182 0.000
Pa Zn Re
1 1 1
Cartesian
0.000 0.000 0.000
3.182 3.182 3.182
4.773 4.773 4.773
```

- size of the total moment (μB/atom) = 0.001
- E_tot (eV per atom) = -7.429
- energy above the most stable polymorph in this dataset (meV/atom) = 0
- energy relative to the elements (meV per atom) = 299
- crystal system = cubic

---

(13)
## ZrPaRe (GGA-PBE)

Data for crystalline ZrPaRe at its relaxed geometry.

POSCAR file:
```
ZrPaRe
1.0
0.000 3.295 3.295
3.295 0.000 3.295
3.295 3.295 0.000
Zr Pa Re
1 1 1
Cartesian
0.000 0.000 0.000
3.295 3.295 3.295
1.647 1.647 1.647
```

- size of the total moment (μB/atom) = 0.148
- E_tot (eV per atom) = -9.994
- energy above the most stable polymorph in this dataset (meV/atom) = 0
- energy relative to the elements (meV per atom) = 161
- crystal system = cubic

---

(14)
## ZrPaRe (GGA-PBE)

Data for crystalline ZrPaRe at its relaxed geometry.

POSCAR file:
```
ZrPaRe
1.0
0.000 3.242 3.242
3.242 0.000 3.242
3.242 3.242 0.000
Zr Pa Re
1 1 1
Cartesian
0.000 0.000 0.000
4.864 4.864 4.864
3.242 3.242 3.242
```

- size of the total moment (μB/atom) = 0.062
- E_tot (eV per atom) = -9.302
- energy above the most stable polymorph in this dataset (meV/atom) = 692
- energy relative to the elements (meV per atom) = 853
- crystal system = cubic

---

(15)
## PaS2 (GGA-PBE)

Data for crystalline PaS2 at its relaxed geometry.

POSCAR file:
```
PaS2
1.0
3.796 0.000 0.000
-1.898 3.287 0.000
0.000 0.000 25.857
Pa S
4 8
Cartesian
0.000 2.191 0.000
0.000 2.191 6.503
1.898 1.096 12.928
1.898 1.096 19.432
0.000 0.000 4.874
0.000 0.000 8.130
0.000 0.000 17.803
0.000 0.000 21.058
0.000 2.191 11.300
0.000 2.191 14.556
1.898 1.096 1.628
1.898 1.096 24.229
```

- size of the total moment (μB/atom) = 0.333
- E_tot (eV per atom) = -7.330
- crystal system = hexagonal

---

(16)
## PaS2 (GGA-PBE)

Data for crystalline PaS2 at its relaxed geometry.

POSCAR file:
```
PaS2
1.0
3.800 0.000 0.000
-1.900 3.291 0.000
0.000 0.000 27.910
Pa S
4 8
Cartesian
0.000 0.000 0.000
0.000 0.000 6.974
0.000 0.000 20.936
1.900 1.097 13.955
0.000 0.000 12.333
0.000 0.000 15.577
0.000 2.194 5.353
0.000 2.194 8.595
0.000 2.194 19.315
0.000 2.194 22.557
1.900 1.097 1.622
1.900 1.097 26.288
```

- size of the total moment (μB/atom) = 0.333
- E_tot (eV per atom) = -7.335
- crystal system = hexagonal

---

(17)
## PaS2 (GGA-PBE)

Data for crystalline PaS2 at its relaxed geometry.

POSCAR file:
```
PaS2
1.0
1.900 -3.287 0.000
1.900 3.287 0.000
0.000 0.000 35.680
Pa S
4 8
Cartesian
0.913 0.002 32.415
0.913 -0.002 3.265
2.886 0.002 21.105
2.886 -0.002 14.575
0.986 1.091 12.945
0.986 1.091 16.201
0.986 -1.091 19.479
0.986 -1.091 22.735
2.813 1.091 1.639
2.813 1.091 4.895
2.813 -1.091 30.785
2.813 -1.091 34.041
```

- size of the total moment (μB/atom) = 0.333
- E_tot (eV per atom) = -7.332
- crystal system = orthorhombic

---

(18)
## PaS2 (GGA-PBE)

Data for crystalline PaS2 at its relaxed geometry.

POSCAR file:
```
PaS2
1.0
23.212 0.000 0.000
0.000 1.902 3.295
0.000 -1.902 3.295
Pa S
2 4
Cartesian
0.000 0.000 0.000
11.606 0.000 3.279
1.621 0.000 2.197
9.985 0.000 5.476
13.227 0.000 5.476
21.591 0.000 2.197
```

- size of the total moment (μB/atom) = 0.333
- E_tot (eV per atom) = -7.332
- crystal system = orthorhombic

---

(19)
## Pa2SeS (GGA-PBE)

Data for crystalline Pa2SeS at its relaxed geometry.

POSCAR file:
```
Pa2SeS
1.0
2.000 1.155 6.442
-2.000 1.155 6.442
0.000 -2.309 6.442
Pa Se S
2 1 1
Cartesian
0.000 0.000 4.664
0.000 0.000 14.664
0.000 0.000 0.000
0.000 0.000 9.664
```

- size of the total moment (μB/atom) = 0.040
- E_tot (eV per atom) = -8.066
- crystal system = trigonal

---

(20)
## PaSeS (GGA-PBE)

Data for crystalline PaSeS at its relaxed geometry.

POSCAR file:
```
PaSeS
1.0
4.093 0.000 0.000
0.000 4.093 0.000
0.000 0.000 7.741
Pa Se S
2 2 2
Cartesian
1.023 1.023 1.719
3.070 3.070 6.022
1.023 3.070 3.870
3.070 1.023 3.870
1.023 1.023 6.660
3.070 3.070 1.080
```

- size of the total moment (μB/atom) = 0.293
- E_tot (eV per atom) = -7.009
- energy above the most stable polymorph in this dataset (meV/atom) = 14
- crystal system = tetragonal